The following is a DFT calculation (GGA+U) of crystalline K2Fe2F7 at its relaxed geometry.

Cell and atoms, written as CIF:
```
data_K2Fe2F7
_symmetry_space_group_name_H-M 'C 1 2/m 1'
_symmetry_Int_Tables_number 12
_symmetry_space_group_name_Hall '-C 2y'
_cell_length_a 6.944
_cell_length_b 13.189
_cell_length_c 4.046
_cell_angle_alpha 90.00
_cell_angle_beta 106.74
_cell_angle_gamma 90.00
loop_
_atom_site_label
_atom_site_type_symbol
_atom_site_fract_x
_atom_site_fract_y
_atom_site_fract_z
K1 K 0.000 0.200 0.000
Fe1 Fe 0.199 0.500 0.342
F1 F 0.000 0.000 0.500
F2 F 0.130 0.500 0.807
F3 F 0.219 0.354 0.337
```

Total magnetization in μB/f.u.: 9.00
Density in g cm⁻³: 3.02
VASP energy in eV per formula unit: -54.903